(1)
Entry from Alexandria via LeMat-Bulk: a relaxed K2TbGe2S6 crystal (GGA-PBE).

Values from the calculation:
Total magnetization (μB per atom): 0.04
Crystal system: monoclinic
Raw formation energy (eV/atom): -0.91

Cell: 7.229 6.630 8.345 Å, 105.71 90.00 123.03°
Site moments in Bohr magnetons follow the coordinates.
Sites, in units of the cell vectors:
1 Tb 0.500 0.000 0.500  0.00
2 Ge 0.037 0.075 0.370  0.00
3 Ge 0.963 0.925 0.630  0.00
4 S 0.788 0.088 0.770  0.01
5 S 0.212 0.912 0.230  0.01
6 S 0.300 0.088 0.770  0.01
7 S 0.248 0.496 0.472  0.12
8 S 0.700 0.912 0.230  0.01
9 S 0.752 0.504 0.528  0.12
10 K 0.311 0.621 0.869  0.00
11 K 0.689 0.379 0.131  0.00

=====

(2)
Entry from Alexandria via LeMat-Bulk: a relaxed KTbGeS4 crystal (GGA-PBE).

Values from the calculation:
Total magnetization (μB per atom): 0.00
Crystal system: monoclinic
Raw formation energy (eV/atom): -1.26

Cell: 6.709 6.561 8.788 Å, 72.67 90.00 90.00°
Sites, in units of the cell vectors:
1 S 0.626 0.020 0.699
2 S 0.468 0.565 0.572
3 S 0.899 0.430 0.831
4 S 0.968 0.435 0.428
5 S 0.634 0.025 0.282
6 S 0.134 0.975 0.718
7 S 0.126 0.980 0.301
8 S 0.399 0.570 0.169
9 K 0.380 0.270 0.934
10 K 0.880 0.730 0.066
11 Ge 0.897 0.226 0.673
12 Ge 0.397 0.774 0.327
13 Tb 0.362 0.228 0.449
14 Tb 0.862 0.772 0.551

=====

(3)
Entry from Alexandria via LeMat-Bulk: a relaxed K2GeTeS crystal (GGA-PBE).

Values from the calculation:
Total magnetization (μB per atom): 0.00
Crystal system: monoclinic
Raw formation energy (eV/atom): -0.79

Cell: 4.332 8.674 9.689 Å, 103.41 90.00 90.00°
Sites, in units of the cell vectors:
1 S 0.250 0.766 0.851
2 S 0.750 0.234 0.149
3 K 0.750 0.711 0.608
4 K 0.250 0.141 0.900
5 K 0.750 0.859 0.100
6 K 0.250 0.289 0.392
7 Te 0.750 0.346 0.697
8 Te 0.250 0.654 0.303
9 Ge 0.250 0.511 0.877
10 Ge 0.750 0.489 0.123

=====

(4)
Entry from Alexandria via LeMat-Bulk: a relaxed K2TiGeS4 crystal (GGA-PBE).

Values from the calculation:
Total magnetization (μB per atom): 0.00
Crystal system: orthorhombic
Raw formation energy (eV/atom): -1.05

Cell: 6.603 7.488 11.495 Å, 82.72 73.31 63.84°
Sites, in units of the cell vectors:
1 K 0.818 0.000 0.364
2 K 0.932 0.500 0.136
3 K 0.182 0.000 0.636
4 K 0.568 0.500 0.864
5 S 0.178 0.189 0.891
6 S 0.492 0.689 0.391
7 S 0.931 0.811 0.891
8 S 0.633 0.189 0.109
9 S 0.258 0.811 0.109
10 S 0.117 0.311 0.391
11 S 0.819 0.689 0.609
12 S 0.572 0.311 0.609
13 Ti 0.750 0.500 0.500
14 Ti 0.000 0.000 0.000
15 Ge 0.250 0.500 0.500
16 Ge 0.500 0.000 0.000